(1)
Nd8Er3Th2: optimized geometry, PBE-GGA.

Summary:
SG = No. 2
DFT formation energy = 129 meV/atom

Cell lengths 13.302, 6.413, 18.713 Å; angles 88.94, 81.67, 144.62 degrees
Sites, in units of the cell vectors:
Nd 0.571 0.450 0.118
Nd 0.764 0.926 0.420
Nd 0.062 0.926 0.804
Nd 0.616 0.368 0.923
Nd 0.331 0.698 0.259
Nd 0.714 0.353 0.327
Nd 0.199 0.734 0.423
Nd 0.815 0.198 0.961
Nd 0.185 0.802 0.039
Nd 0.801 0.266 0.577
Nd 0.938 0.074 0.196
Nd 0.669 0.302 0.741
Nd 0.384 0.632 0.077
Nd 0.286 0.647 0.673
Nd 0.236 0.074 0.580
Nd 0.429 0.550 0.882
Er 0.511 0.537 0.299
Er 0.500 0.000 0.500
Er 0.869 0.127 0.765
Er 0.131 0.873 0.235
Er 0.000 0.000 0.000
Er 0.489 0.463 0.701
Th 0.764 0.270 0.150
Th 0.925 0.985 0.578
Th 0.075 0.015 0.422
Th 0.236 0.730 0.850

---

(2)
PIrAuCl2: optimized geometry, PBE-GGA.

Summary:
energy above the most stable polymorph in this dataset = 231.5 meV/atom
uncorrected formation energy = 732 meV per atom
SG = No. 123

Cell lengths 4.782, 4.566, 4.782 Å; angles 90.00, 90.00, 90.00 degrees
Site moments in Bohr magnetons follow the coordinates.
Sites, in units of the cell vectors:
P 0.000 0.000 0.000  0.00
Ir 0.000 0.500 0.000  0.06
Au 0.500 0.500 0.500  0.00
Cl 0.000 0.000 0.500  0.00
Cl 0.500 0.000 0.000  0.00

---

(3)
As2IrSBr: optimized geometry, PBE-GGA.

Summary:
energy above the most stable polymorph in this dataset = 0.0 meV/atom
uncorrected formation energy = 714 meV per atom
SG = No. 123

Cell lengths 4.806, 4.806, 5.097 Å; angles 90.00, 90.00, 90.00 degrees
Sites, in units of the cell vectors:
As 0.000 0.500 0.000
As 0.500 0.000 0.000
Ir 0.000 0.000 0.000
S 0.500 0.500 0.500
Br 0.000 0.000 0.500

---

(4)
Ce3Pr5Bi8: optimized geometry, PBE-GGA.

Summary:
SG = No. 166
DFT formation energy = -899 meV/atom

Cell lengths 9.250, 9.250, 9.251 Å; angles 60.01, 60.01, 60.00 degrees
Site moments in Bohr magnetons follow the coordinates.
Sites, in units of the cell vectors:
Ce 0.500 0.000 0.500  0.80
Ce 0.000 0.000 0.500  0.80
Ce 0.000 0.500 0.500  0.80
Pr 0.500 0.000 0.000  0.00
Pr 0.500 0.500 0.000  0.00
Pr 0.000 0.000 0.000  0.01
Pr 0.000 0.500 0.000  0.00
Pr 0.500 0.500 0.500  0.00
Bi 0.250 0.250 0.747  -0.02
Bi 0.250 0.753 0.747  -0.02
Bi 0.753 0.250 0.747  -0.02
Bi 0.751 0.751 0.746  -0.03
Bi 0.750 0.750 0.253  -0.02
Bi 0.750 0.247 0.253  -0.02
Bi 0.247 0.750 0.253  -0.02
Bi 0.249 0.249 0.254  -0.03

---

Number 3 is which compound?
As2IrSBr